Record 1
# TaTlW, optimized geometry, DFT PBE-GGA
# Relative energy among the computed polymorphs, meV/atom: 847
# Crystal system: cubic
# ΔH_f (0 K), eV per atom: 1.21
# Mass density, kg/m3: 13916
# Total moment, Bohr magnetons per cell: 0.00
data_TaTlW
_chemical_formula_sum 'Ta1 Tl1 W1'
_space_group_name_H-M_alt 'P 1'
_space_group_IT_number 1
_space_group_name_Hall 'P 1'
_cell_length_a 4.580
_cell_length_b 4.580
_cell_length_c 4.580
_cell_angle_alpha 60.00
_cell_angle_beta 60.00
_cell_angle_gamma 60.00
loop_
_atom_site_label
_atom_site_fract_x
_atom_site_fract_y
_atom_site_fract_z
Ta1 0.000 0.000 0.000
Tl1 0.500 0.500 0.500
W1 0.750 0.750 0.750

***

Record 2
# RbLiInHg2, optimized geometry, DFT PBE-GGA
# Relative energy among the computed polymorphs, meV/atom: 0
# Crystal system: tetragonal
# ΔH_f (0 K), eV per atom: -0.10
# Mass density, kg/m3: 6571
# Total moment, Bohr magnetons per cell: 0.00
data_RbLiInHg2
_chemical_formula_sum 'Rb1 Li1 In1 Hg2'
_space_group_name_H-M_alt 'P 1'
_space_group_IT_number 1
_space_group_name_Hall 'P 1'
_cell_length_a 5.380
_cell_length_b 5.380
_cell_length_c 5.313
_cell_angle_alpha 90.00
_cell_angle_beta 90.00
_cell_angle_gamma 90.00
loop_
_atom_site_label
_atom_site_fract_x
_atom_site_fract_y
_atom_site_fract_z
Li1 0.000 0.000 0.000
Hg1 0.000 0.500 0.000
Hg2 0.500 0.000 0.000
Rb1 0.500 0.500 0.500
In1 0.000 0.000 0.500

***

Record 3
# MoC2, optimized geometry, DFT PBE-GGA
# Relative energy among the computed polymorphs, meV/atom: 1387
# Crystal system: hexagonal
# ΔH_f (0 K), eV per atom: 1.91
# Mass density, kg/m3: 7461
# Total moment, Bohr magnetons per cell: 0.00
data_MoC2
_chemical_formula_sum 'Mo1 C2'
_space_group_name_H-M_alt 'P 1'
_space_group_IT_number 1
_space_group_name_Hall 'P 1'
_cell_length_a 3.261
_cell_length_b 3.261
_cell_length_c 2.899
_cell_angle_alpha 90.00
_cell_angle_beta 90.00
_cell_angle_gamma 120.00
loop_
_atom_site_label
_atom_site_fract_x
_atom_site_fract_y
_atom_site_fract_z
Mo1 0.000 0.000 0.000
C1 0.333 0.667 0.500
C2 0.667 0.333 0.500

***

Record 4
# RbBaNa2Pb, optimized geometry, DFT PBE-GGA
# Crystal system: tetragonal
# ΔH_f (0 K), eV per atom: -0.04
# Mass density, kg/m3: 2890
# Total moment, Bohr magnetons per cell: 0.00
data_RbBaNa2Pb
_chemical_formula_sum 'Rb1 Ba1 Na2 Pb1'
_space_group_name_H-M_alt 'P 1'
_space_group_IT_number 1
_space_group_name_Hall 'P 1'
_cell_length_a 6.370
_cell_length_b 6.370
_cell_length_c 6.741
_cell_angle_alpha 90.00
_cell_angle_beta 90.00
_cell_angle_gamma 90.00
loop_
_atom_site_label
_atom_site_fract_x
_atom_site_fract_y
_atom_site_fract_z
Pb1 0.000 0.000 0.000
Na1 0.000 0.500 0.000
Na2 0.500 0.000 0.000
Ba1 0.000 0.000 0.500
Rb1 0.500 0.500 0.500

***

Record 5
# CaScAgHg, optimized geometry, DFT PBE-GGA
# Relative energy among the computed polymorphs, meV/atom: 36
# Crystal system: cubic
# ΔH_f (0 K), eV per atom: -0.33
# Mass density, kg/m3: 7016
# Total moment, Bohr magnetons per cell: 0.00
data_CaScAgHg
_chemical_formula_sum 'Ca1 Sc1 Ag1 Hg1'
_space_group_name_H-M_alt 'P 1'
_space_group_IT_number 1
_space_group_name_Hall 'P 1'
_cell_length_a 5.088
_cell_length_b 5.088
_cell_length_c 5.088
_cell_angle_alpha 60.00
_cell_angle_beta 60.00
_cell_angle_gamma 60.00
loop_
_atom_site_label
_atom_site_fract_x
_atom_site_fract_y
_atom_site_fract_z
Sc1 0.750 0.750 0.750
Ca1 0.250 0.250 0.250
Hg1 0.000 0.000 0.000
Ag1 0.500 0.500 0.500

***

Record 6
# LiHfIrRh, optimized geometry, DFT PBE-GGA
# Crystal system: cubic
# ΔH_f (0 K), eV per atom: -0.71
# Mass density, kg/m3: 13101
# Total moment, Bohr magnetons per cell: 0.00
data_LiHfIrRh
_chemical_formula_sum 'Li1 Hf1 Ir1 Rh1'
_space_group_name_H-M_alt 'P 1'
_space_group_IT_number 1
_space_group_name_Hall 'P 1'
_cell_length_a 4.416
_cell_length_b 4.416
_cell_length_c 4.416
_cell_angle_alpha 60.00
_cell_angle_beta 60.00
_cell_angle_gamma 60.00
loop_
_atom_site_label
_atom_site_fract_x
_atom_site_fract_y
_atom_site_fract_z
Rh1 0.500 0.500 0.500
Ir1 0.000 0.000 0.000
Hf1 0.750 0.750 0.750
Li1 0.250 0.250 0.250

***

Record 7
# Ac3Mg2Ag, optimized geometry, DFT PBE-GGA
# Crystal system: tetragonal
# ΔH_f (0 K), eV per atom: -0.14
# Mass density, kg/m3: 6918
# Total moment, Bohr magnetons per cell: 0.00
data_Ac3Mg2Ag
_chemical_formula_sum 'Ac3 Mg2 Ag1'
_space_group_name_H-M_alt 'P 1'
_space_group_IT_number 1
_space_group_name_Hall 'P 1'
_cell_length_a 4.080
_cell_length_b 4.080
_cell_length_c 12.078
_cell_angle_alpha 90.00
_cell_angle_beta 90.00
_cell_angle_gamma 90.00
loop_
_atom_site_label
_atom_site_fract_x
_atom_site_fract_y
_atom_site_fract_z
Ac1 0.000 0.000 0.000
Ac2 0.000 0.000 0.659
Ac3 0.000 0.000 0.341
Mg1 0.500 0.500 0.833
Mg2 0.500 0.500 0.167
Ag1 0.500 0.500 0.500

***

Record 8
# NaY2Ag, optimized geometry, DFT PBE-GGA
# Relative energy among the computed polymorphs, meV/atom: 57
# Crystal system: cubic
# ΔH_f (0 K), eV per atom: 0.07
# Mass density, kg/m3: 4810
# Total moment, Bohr magnetons per cell: 0.00
data_NaY2Ag
_chemical_formula_sum 'Na1 Y2 Ag1'
_space_group_name_H-M_alt 'P 1'
_space_group_IT_number 1
_space_group_name_Hall 'P 1'
_cell_length_a 5.322
_cell_length_b 5.322
_cell_length_c 5.322
_cell_angle_alpha 60.00
_cell_angle_beta 60.00
_cell_angle_gamma 60.00
loop_
_atom_site_label
_atom_site_fract_x
_atom_site_fract_y
_atom_site_fract_z
Y1 0.250 0.250 0.250
Y2 0.750 0.750 0.750
Na1 0.000 0.000 0.000
Ag1 0.500 0.500 0.500

***

Record 9
# AcLaB2N4, optimized geometry, DFT PBE-GGA
# Crystal system: orthorhombic
# Formation energy (no corrections), eV/atom: -1.153
# Mass density, kg/m3: 6472
# Total moment, Bohr magnetons per cell: 0.00
data_AcLaB2N4
_chemical_formula_sum 'Ac1 La1 B2 N4'
_space_group_name_H-M_alt 'P 1'
_space_group_IT_number 1
_space_group_name_Hall 'P 1'
_cell_length_a 5.809
_cell_length_b 5.316
_cell_length_c 5.316
_cell_angle_alpha 66.05
_cell_angle_beta 56.89
_cell_angle_gamma 56.89
loop_
_atom_site_label
_atom_site_fract_x
_atom_site_fract_y
_atom_site_fract_z
Ac1 0.500 0.500 0.500
La1 0.000 0.000 0.000
B1 0.249 0.251 0.251
B2 0.751 0.749 0.749
N1 0.412 0.086 0.416
N2 0.915 0.914 0.584
N3 0.085 0.416 0.086
N4 0.588 0.584 0.914

***

Record 10
# Sr2YTl, optimized geometry, DFT PBE-GGA
# Relative energy among the computed polymorphs, meV/atom: 20
# Crystal system: orthorhombic
# ΔH_f (0 K), eV per atom: -0.11
# Mass density, kg/m3: 5060
# Total moment, Bohr magnetons per cell: 0.00
data_Sr2YTl
_chemical_formula_sum 'Sr2 Y1 Tl1'
_space_group_name_H-M_alt 'P 1'
_space_group_IT_number 1
_space_group_name_Hall 'P 1'
_cell_length_a 7.292
_cell_length_b 7.292
_cell_length_c 7.292
_cell_angle_alpha 147.80
_cell_angle_beta 131.35
_cell_angle_gamma 59.54
loop_
_atom_site_label
_atom_site_fract_x
_atom_site_fract_y
_atom_site_fract_z
Sr1 0.996 0.996 0.000
Sr2 0.289 0.789 0.500
Tl1 0.513 0.513 0.000
Y1 0.703 0.203 0.500

***

Record 11
# VZnRu2, optimized geometry, DFT PBE-GGA
# Crystal system: tetragonal
# ΔH_f (0 K), eV per atom: 0.48
# Mass density, kg/m3: 8659
# Total moment, Bohr magnetons per cell: 0.03
data_VZnRu2
_chemical_formula_sum 'V2 Zn2 Ru4'
_space_group_name_H-M_alt 'P 1'
_space_group_IT_number 1
_space_group_name_Hall 'P 1'
_cell_length_a 3.769
_cell_length_b 3.769
_cell_length_c 9.003
_cell_angle_alpha 77.92
_cell_angle_beta 77.92
_cell_angle_gamma 90.00
loop_
_atom_site_label
_atom_site_fract_x
_atom_site_fract_y
_atom_site_fract_z
Ru1 0.660 0.125 0.250
Ru2 0.090 0.625 0.250
Ru3 0.375 0.340 0.750
Ru4 0.875 0.910 0.750
Zn1 0.000 0.000 0.000
Zn2 0.750 0.250 0.500
V1 0.500 0.500 0.000
V2 0.250 0.750 0.500

***

Record 12
# B2C, optimized geometry, DFT PBE-GGA
# Relative energy among the computed polymorphs, meV/atom: 206
# Crystal system: monoclinic
# ΔH_f (0 K), eV per atom: 0.39
# Mass density, kg/m3: 2617
# Total moment, Bohr magnetons per cell: 0.00
data_B2C
_chemical_formula_sum 'B8 C4'
_space_group_name_H-M_alt 'P 1'
_space_group_IT_number 1
_space_group_name_Hall 'P 1'
_cell_length_a 5.667
_cell_length_b 5.667
_cell_length_c 5.807
_cell_angle_alpha 76.50
_cell_angle_beta 76.50
_cell_angle_gamma 28.14
loop_
_atom_site_label
_atom_site_fract_x
_atom_site_fract_y
_atom_site_fract_z
B1 0.445 0.445 0.635
B2 0.614 0.614 0.651
B3 0.139 0.139 0.807
B4 0.386 0.386 0.349
B5 0.555 0.555 0.365
B6 0.861 0.861 0.193
B7 0.202 0.202 0.468
B8 0.798 0.798 0.532
C1 0.208 0.208 0.014
C2 0.792 0.792 0.986
C3 0.124 0.124 0.265
C4 0.876 0.876 0.735

***

Q: The lowest mass density belongs to which entry?
A: B2C